Record 1
# KTa2Pb, relaxed, DFT PBE
# Formation enthalpy at 0 K   0.93 eV per atom
# V   215.41 Å³ per cell
# Density of states at the Fermi level   0.603 states/eV/atom
# Raw total energy   -49.6 eV for the cell shown
# Size of the total moment   0.00 μB/f.u.
data_KTa2Pb
_chemical_formula_sum 'K2 Ta4 Pb2'
_cell_length_a 12.5215
_cell_length_b 3.0304
_cell_length_c 5.9258
_cell_angle_alpha 90.00
_cell_angle_beta 106.66
_cell_angle_gamma 90.00
_space_group_name_H-M_alt 'C 1 2/m 1'
_space_group_IT_number 12
loop_
_space_group_symop_operation_xyz
'x,y,z'
'-x,-y,-z'
'-x,y,-z'
'x,-y,z'
'x+1/2,y+1/2,z'
'-x+1/2,-y+1/2,-z'
'-x+1/2,y+1/2,-z'
'x+1/2,-y+1/2,z'
loop_
_atom_site_label
_atom_site_fract_x
_atom_site_fract_y
_atom_site_fract_z
_atom_site_occupancy
K1 0.0000 0.0000 0.0000 1
Ta1 0.2136 0.0000 0.6538 1
Pb1 0.0000 0.5000 0.5000 1

Record 2
# KTa2Pb, relaxed, DFT PBE
# Formation enthalpy at 0 K   1.35 eV per atom
# V   499.20 Å³ per cell
# Density of states at the Fermi level   1.175 states/eV/atom
# Raw total energy   -92.4 eV for the cell shown
# Size of the total moment   0.00 μB/f.u.
data_KTa2Pb
_chemical_formula_sum 'K4 Ta8 Pb4'
_cell_length_a 4.8624
_cell_length_b 4.8624
_cell_length_c 21.1145
_cell_angle_alpha 90.00
_cell_angle_beta 90.00
_cell_angle_gamma 90.00
_space_group_name_H-M_alt 'I -4 2 d'
_space_group_IT_number 122
_space_group_name_Hall 'I -4 2bw'
loop_
_atom_site_label
_atom_site_fract_x
_atom_site_fract_y
_atom_site_fract_z
_atom_site_occupancy
K1 0.0000 0.0000 0.0000 1
Ta1 0.0722 0.2500 0.6250 1
Pb1 0.0000 0.0000 0.5000 1